(1)
Sm2MoN5 PBE relaxed; crystal system = orthorhombic; space group = Cmcm, No. 63; N(E_F) = 2.643 states/eV/f.u.; raw formation energy = -4.82 eV/f.u.
1.0
2.1627 -6.0334 0.0000
2.1627 6.0334 0.0000
0.0000 0.0000 10.1211
Sm Mo N
4 2 10
Cartesian
2.1627 4.3026 5.6483
2.1627 4.3026 9.5334
2.1627 -4.3026 0.5877
2.1627 -4.3026 4.4728
2.1627 3.2680 2.5303
2.1627 -3.2680 7.5908
2.1627 5.3615 1.8897
2.1627 5.3615 3.1709
2.1627 2.8699 7.5908
2.1627 2.3735 0.8331
2.1627 2.3735 4.2275
2.1627 -2.3735 5.8936
2.1627 -2.3735 9.2880
2.1627 -2.8699 2.5303
2.1627 -5.3615 6.9502
2.1627 -5.3615 8.2314



(2)
NpAgTeN PBE relaxed; crystal system = trigonal; space group = R-3m, No. 166; N(E_F) = 7.524 states/eV/f.u.; raw formation energy = -2.50 eV/f.u.
1.0
2.0016 1.1556 11.9722
-2.0016 1.1556 11.9722
0.0000 -2.3112 11.9722
Np Ag Te N
2 2 2 2
Cartesian
0.0000 0.0000 4.6518
0.0000 0.0000 31.2647
0.0000 0.0000 11.1603
0.0000 0.0000 24.7562
0.0000 0.0000 14.4033
0.0000 0.0000 21.5132
0.0000 0.0000 6.8196
0.0000 0.0000 29.0969



(3)
LiCeTmGe PBE relaxed; crystal system = cubic; space group = F-43m, No. 216; formation enthalpy at 0 K = -0.3170 eV/atom; N(E_F) = 8.503 states/eV/f.u.
1.0
0.0000 3.5704 3.5704
3.5704 0.0000 3.5704
3.5704 3.5704 0.0000
Li Ce Tm Ge
1 1 1 1
Cartesian
0.0000 0.0000 0.0000
5.3556 5.3556 5.3556
1.7852 1.7852 1.7852
3.5704 3.5704 3.5704



(4)
ZrSiRu PBE relaxed; crystal system = hexagonal; space group = P-6m2, No. 187; N(E_F) = 2.191 states/eV/f.u.; raw formation energy = -2.10 eV/f.u.
1.0
4.2478 0.0000 0.0000
-2.1239 3.6787 0.0000
0.0000 0.0000 3.1701
Zr Si Ru
1 1 1
Cartesian
0.0000 0.0000 0.0000
0.0000 2.4525 1.5851
2.1239 1.2262 1.5851



(5)
YHo14Pu PBE relaxed; crystal system = orthorhombic; space group = Amm2, No. 38; formation enthalpy at 0 K = 0.0238 eV/atom; N(E_F) = 28.767 states/eV/f.u.
1.0
11.1839 0.0000 0.0000
0.0000 3.5909 6.2134
0.0000 -3.5909 6.2134
Y Ho Pu
1 14 1
Cartesian
0.0000 0.0000 0.0000
0.0000 -1.7954 9.3120
0.0000 1.7954 9.3120
2.7704 0.0000 4.1560
2.7812 -1.7752 7.2355
2.7812 1.7752 7.2355
2.8212 0.0000 10.3494
5.5919 0.0000 12.4244
5.5919 1.7954 9.3183
5.5919 -1.7954 9.3183
5.5919 0.0000 6.2083
8.3627 0.0000 10.3494
8.4027 -1.7752 7.2355
8.4027 1.7752 7.2355
8.4135 0.0000 4.1560
0.0000 0.0000 6.2098



| no. | energy (eV per cell) |
| --- | --- |
| 1 | -133.43 |
| 2 | -59.53 |
| 3 | -18.20 |
| 4 | -25.35 |
| 5 | -84.50 |